## Ho3ErAl2 (PBE)

Data for a geometry-optimized Ho3ErAl2 structure.

Cell lengths 4.7793, 14.7158, 4.3673 Å; angles 90.00, 90.00, 90.00 degrees
Sites, in units of the cell vectors:
Ho 0.0000 0.0000 0.0000
Ho 0.0000 0.3260 0.0000
Ho 0.0000 0.6740 0.0000
Ho 0.5000 0.1740 0.0000
Ho 0.5000 0.5000 0.0000
Ho 0.5000 0.8260 0.0000
Er 0.0000 0.5000 0.5000
Er 0.5000 0.0000 0.5000
Al 0.0000 0.1569 0.5000
Al 0.0000 0.8431 0.5000
Al 0.5000 0.3431 0.5000
Al 0.5000 0.6569 0.5000

Calculated values
spin magnetization: 0.00 μB per formula unit
formation energy: -0.201 eV/atom
raw total energy: -4.50 eV/atom
space-group type: Cmmm

## LaTbAs2Pd5 (PBE)

Data for a geometry-optimized LaTbAs2Pd5 structure.

Cell lengths 4.2870, 4.2870, 9.3591 Å; angles 90.00, 90.00, 90.00 degrees
Sites, in units of the cell vectors:
La 0.0000 0.0000 0.0000
Tb 0.0000 0.0000 0.5000
As 0.5000 0.5000 0.3645
As 0.5000 0.5000 0.6355
Pd 0.0000 0.5000 0.2293
Pd 0.0000 0.5000 0.7707
Pd 0.5000 0.0000 0.2293
Pd 0.5000 0.0000 0.7707
Pd 0.5000 0.5000 0.0000

Calculated values
spin magnetization: 0.00 μB per formula unit
formation energy: -0.799 eV/atom
raw total energy: -5.78 eV/atom
space-group type: P4/mmm